# 1
## Na2CaPtF8 (PBE)

Data for Na2CaPtF8 after structural relaxation.

Cell and atoms, written as POSCAR:
```
Na2CaPtF8
1.0
5.087 0.000 0.000
-2.544 4.406 0.000
0.000 0.000 7.364
Na Ca Pt F
2 1 1 8
Cartesian
2.544 1.469 1.473
0.000 2.937 5.891
0.000 0.000 3.682
0.000 0.000 0.000
2.544 2.955 6.039
1.257 0.725 6.039
3.831 0.725 6.039
0.000 1.451 1.325
1.287 3.680 1.325
-1.287 3.680 1.325
2.544 1.469 3.561
0.000 2.937 3.803
```

Values from the calculation:
D(E_F) = 0.0 states/eV per cell
Crystal system = trigonal
Energy = -52.5 eV for the cell shown

***

# 2
## NaCaPuF6 (PBE)

Data for NaCaPuF6 after structural relaxation.

Cell and atoms, written as POSCAR:
```
NaCaPuF6
1.0
6.158 0.000 0.000
-3.079 5.333 0.000
0.000 0.000 9.193
Na Ca Pu F
2 2 2 12
Cartesian
0.000 0.000 0.000
0.000 0.000 4.596
0.000 3.555 2.298
3.079 1.778 6.895
3.079 1.778 2.298
0.000 3.555 6.895
2.003 3.497 1.205
-1.052 1.850 1.205
2.128 0.014 5.801
4.131 3.483 7.988
1.052 1.850 3.392
-2.003 3.497 3.392
4.030 0.014 7.988
0.951 5.319 3.392
5.082 1.836 5.801
-0.951 5.319 1.205
2.027 3.483 5.801
1.076 1.836 7.988
```

Values from the calculation:
D(E_F) = 12.8 states/eV per cell
Crystal system = trigonal
Energy = -119.8 eV for the cell shown

***

# 3
## Na2CaPuF8 (PBE)

Data for Na2CaPuF8 after structural relaxation.

Cell and atoms, written as POSCAR:
```
Na2CaPuF8
1.0
-1.746 -0.715 -3.406
3.673 -4.107 -1.021
-4.744 -5.115 3.505
Na Ca Pu F
2 1 1 8
Cartesian
-2.481 -6.125 0.331
-0.336 -3.812 -1.254
-2.372 -2.557 1.753
0.000 0.000 0.000
1.729 -4.314 0.018
1.965 -3.531 -2.493
-1.969 -2.845 -2.844
-4.546 -5.623 -0.941
-4.782 -6.406 1.570
-0.847 -7.092 1.922
-0.442 -6.050 -0.730
-2.375 -3.887 -0.192
```

Values from the calculation:
D(E_F) = 6.7 states/eV per cell
Crystal system = orthorhombic
Energy = -74.2 eV for the cell shown